Entry 1:
La6As2S3I: relaxed, PBE-GGA.

Unit cell a=9.6063 b=9.6063 c=8.6554 alpha=102.86 beta=102.86 gamma=25.75
Closest atoms and distances in Å follow each position.
Fractional coordinates of all 12 atoms:
La1 0.0008 0.0008 0.2183  3 S 2.85-2.98, 1 As 3.05
La2 0.3213 0.3213 0.4133  3 S 2.88-3.03, 2 As 3.05
La3 0.3336 0.3336 0.9145  3 S 3.03-3.04, 3 As 3.06-3.07
La4 0.6664 0.6664 0.0855  3 S 3.03-3.04, 3 As 3.06-3.07
La5 0.6787 0.6787 0.5867  3 S 2.88-3.03, 2 As 3.05
La6 0.9992 0.9992 0.7817  3 S 2.85-2.98, 1 As 3.05
As1 0.1656 0.1656 0.8303  6 La 3.05-3.07
As2 0.8344 0.8344 0.1697  6 La 3.05-3.07
S1 0.1635 0.1635 0.3327  6 La 2.88-3.04
S2 0.5000 0.5000 0.0000  6 La 2.85-3.03
S3 0.8365 0.8365 0.6673  6 La 2.88-3.04
I1 0.5000 0.5000 0.5000  6 La 3.25-3.26

Calculated values
E_form (uncorrected): -21.47 eV per formula unit
SG: C2/m
DOS at the Fermi energy: 5.69 states/eV per cell
Total magnetic moment: 0.00 μB per cell

=====

Entry 2:
La6As2SI3: relaxed, PBE-GGA.

Unit cell a=7.5345 b=7.5345 c=8.1456 alpha=98.85 beta=98.85 gamma=119.99
Closest atoms and distances in Å follow each position.
Fractional coordinates of all 12 atoms:
La1 0.0649 0.3863 0.1961  1 S 2.86, 2 As 2.98
La2 0.2545 0.2545 0.8011  1 S 2.87, 2 As 2.98
La3 0.3863 0.0649 0.1961  1 S 2.86, 2 As 2.98
La4 0.6137 0.9351 0.8039  1 S 2.86, 2 As 2.98
La5 0.7455 0.7455 0.1989  1 S 2.87, 2 As 2.98
La6 0.9351 0.6137 0.8039  1 S 2.86, 2 As 2.98
As1 0.3341 0.6659 0.0000  6 La 2.98
As2 0.6659 0.3341 0.0000  6 La 2.98
S1 0.0000 0.0000 0.0000  6 La 2.86-2.87
I1 0.1712 0.8288 0.5000  6 La 3.41-3.47
I2 0.5000 0.5000 0.5000  6 La 3.41-3.50
I3 0.8288 0.1712 0.5000  6 La 3.41-3.47

Calculated values
E_form (uncorrected): -17.72 eV per formula unit
SG: C2/m
DOS at the Fermi energy: 5.77 states/eV per cell
Total magnetic moment: 0.00 μB per cell

=====

Entry 3:
LaSbAsI2: relaxed, PBE-GGA.

Unit cell a=5.4376 b=5.4376 c=5.8720 alpha=90.00 beta=90.00 gamma=90.00
Closest atoms and distances in Å follow each position.
Fractional coordinates of all 5 atoms:
La1 0.0000 0.0000 0.0000  4 Sb 3.84, 8 I 4.00
Sb1 0.5000 0.5000 0.0000  2 As 2.94
As1 0.5000 0.5000 0.5000  4 I 2.72, 2 Sb 2.94
I1 0.0000 0.5000 0.5000  2 As 2.72
I2 0.5000 0.0000 0.5000  2 As 2.72

Calculated values
E_form (uncorrected): -0.74 eV per formula unit
SG: P4/mmm
DOS at the Fermi energy: 3.49 states/eV per cell
Offset from the most stable computed form: 0.00 eV per formula unit
Total magnetic moment: 0.17 μB per cell

=====

Entry 4:
La4SbAsI2: relaxed, PBE-GGA.

Unit cell a=7.9010 b=4.5103 c=8.0639 alpha=90.00 beta=108.83 gamma=90.00
Closest atoms and distances in Å follow each position.
Fractional coordinates of all 8 atoms:
La1 0.2179 0.0000 0.2066  2 As 3.00, 1 Sb 3.18, 1 I 3.35
La2 0.2411 0.5000 0.7847  1 As 2.96, 2 Sb 3.16
La3 0.7589 0.5000 0.2153  1 As 2.96, 2 Sb 3.16
La4 0.7821 0.0000 0.7934  2 As 3.00, 1 Sb 3.18, 1 I 3.35
Sb1 0.5000 0.0000 0.0000  6 La 3.16-3.18
As1 0.0000 0.5000 0.0000  6 La 2.96-3.00
I1 0.0000 0.0000 0.5000  6 La 3.34-3.35
I2 0.5000 0.5000 0.5000  6 La 3.50-3.53

Calculated values
E_form (uncorrected): -10.40 eV per formula unit
SG: P2/m
DOS at the Fermi energy: 3.71 states/eV per cell
Total magnetic moment: 0.00 μB per cell

=====

Entry 5:
LaSbAsI2: relaxed, PBE-GGA.

Unit cell a=6.1795 b=6.1795 c=6.6404 alpha=90.00 beta=90.00 gamma=90.00
Closest atoms and distances in Å follow each position.
Fractional coordinates of all 5 atoms:
La1 0.0000 0.0000 0.0000  4 I 3.09, 2 Sb 3.32
Sb1 0.0000 0.0000 0.5000  2 La 3.32
As1 0.5000 0.5000 0.5000  4 Sb 4.37, 8 I 4.54
I1 0.0000 0.5000 0.0000  2 La 3.09
I2 0.5000 0.0000 0.0000  2 La 3.09

Calculated values
E_form (uncorrected): -0.14 eV per formula unit
SG: P4/mmm
DOS at the Fermi energy: 0.86 states/eV per cell
Offset from the most stable computed form: 0.60 eV per formula unit
Total magnetic moment: 1.00 μB per cell

=====

Entry 6:
La6Sb2As3I: relaxed, PBE-GGA.

Unit cell a=10.0842 b=10.0842 c=9.0602 alpha=103.96 beta=103.96 gamma=25.58
Closest atoms and distances in Å follow each position.
Fractional coordinates of all 12 atoms:
La1 0.0042 0.0042 0.2248  3 As 3.01-3.07, 1 Sb 3.24, 2 I 3.36
La2 0.3245 0.3245 0.4232  3 As 3.04-3.11, 2 Sb 3.24, 1 I 3.35
La3 0.3359 0.3359 0.9095  3 As 3.13-3.14, 3 Sb 3.26-3.27
La4 0.6641 0.6641 0.0905  3 As 3.13-3.14, 3 Sb 3.26-3.27
La5 0.6755 0.6755 0.5768  3 As 3.04-3.11, 2 Sb 3.24, 1 I 3.35
La6 0.9958 0.9958 0.7752  3 As 3.01-3.07, 1 Sb 3.24, 2 I 3.36
Sb1 0.1647 0.1647 0.8287  6 La 3.24-3.27
Sb2 0.8353 0.8353 0.1713  6 La 3.24-3.27
As1 0.1648 0.1648 0.3338  6 La 3.04-3.14
As2 0.5000 0.5000 0.0000  6 La 3.01-3.13
As3 0.8352 0.8352 0.6662  6 La 3.04-3.14
I1 0.5000 0.5000 0.5000  6 La 3.35-3.36

Calculated values
E_form (uncorrected): -17.27 eV per formula unit
SG: C2/m
DOS at the Fermi energy: 4.66 states/eV per cell
Total magnetic moment: 0.00 μB per cell

=====

Entry 7:
La6SbAs2I3: relaxed, PBE-GGA.

Unit cell a=7.7888 b=7.7888 c=8.0761 alpha=99.25 beta=99.25 gamma=120.02
Closest atoms and distances in Å follow each position.
Fractional coordinates of all 12 atoms:
La1 0.0822 0.4304 0.7921  2 As 2.99, 1 Sb 3.14
La2 0.2196 0.2196 0.2049  2 As 2.99, 1 Sb 3.14
La3 0.4304 0.0822 0.7921  2 As 2.99, 1 Sb 3.14
La4 0.5696 0.9178 0.2079  2 As 2.99, 1 Sb 3.14
La5 0.7804 0.7804 0.7951  2 As 2.99, 1 Sb 3.14
La6 0.9178 0.5696 0.2079  2 As 2.99, 1 Sb 3.14
Sb1 0.5000 0.5000 0.0000  6 La 3.14
As1 0.1674 0.8326 0.0000  6 La 2.99
As2 0.8326 0.1674 0.0000  6 La 2.99
I1 0.0000 0.0000 0.5000  6 La 3.35-3.47
I2 0.3386 0.6614 0.5000  6 La 3.38-3.48
I3 0.6614 0.3386 0.5000  6 La 3.38-3.48

Calculated values
E_form (uncorrected): -15.99 eV per formula unit
SG: C2/m
DOS at the Fermi energy: 6.26 states/eV per cell
Total magnetic moment: 0.00 μB per cell

=====

Entry 8:
LaAs2SeI: relaxed, PBE-GGA.

Unit cell a=5.9407 b=5.9407 c=5.5813 alpha=90.00 beta=90.00 gamma=90.00
Closest atoms and distances in Å follow each position.
Fractional coordinates of all 5 atoms:
La1 0.0000 0.0000 0.0000  2 Se 2.79, 4 As 2.97
As1 0.0000 0.5000 0.0000  2 La 2.97
As2 0.5000 0.0000 0.0000  2 La 2.97
Se1 0.0000 0.0000 0.5000  2 La 2.79
I1 0.5000 0.5000 0.5000  8 As 4.08, 4 Se 4.20

Calculated values
E_form (uncorrected): 1.65 eV per formula unit
SG: P4/mmm
DOS at the Fermi energy: 7.95 states/eV per cell
Offset from the most stable computed form: 0.70 eV per formula unit
Total magnetic moment: 0.88 μB per cell

=====

Entry 9:
LaAsSe2I: relaxed, PBE-GGA.

Unit cell a=5.6962 b=5.6962 c=6.2300 alpha=90.00 beta=90.00 gamma=90.00
Closest atoms and distances in Å follow each position.
Fractional coordinates of all 5 atoms:
La1 0.0000 0.0000 0.0000  4 Se 2.85, 2 As 3.11
As1 0.0000 0.0000 0.5000  2 La 3.11
Se1 0.0000 0.5000 0.0000  2 La 2.85
Se2 0.5000 0.0000 0.0000  2 La 2.85
I1 0.5000 0.5000 0.5000  4 As 4.03, 8 Se 4.22

Calculated values
E_form (uncorrected): 0.24 eV per formula unit
SG: P4/mmm
DOS at the Fermi energy: 8.62 states/eV per cell
Offset from the most stable computed form: 0.25 eV per formula unit
Total magnetic moment: 0.28 μB per cell

=====

Entry 10:
La6As2SeI3: relaxed, PBE-GGA.

Unit cell a=7.6142 b=7.6142 c=8.1078 alpha=99.01 beta=99.01 gamma=120.03
Closest atoms and distances in Å follow each position.
Fractional coordinates of all 12 atoms:
La1 0.0981 0.4329 0.7980  2 As 2.97, 1 Se 2.99
La2 0.2330 0.2330 0.2023  2 As 2.97, 1 Se 2.98
La3 0.4329 0.0981 0.7980  2 As 2.97, 1 Se 2.99
La4 0.5671 0.9019 0.2020  2 As 2.97, 1 Se 2.99
La5 0.7670 0.7670 0.7977  2 As 2.97, 1 Se 2.98
La6 0.9019 0.5671 0.2020  2 As 2.97, 1 Se 2.99
As1 0.1664 0.8336 0.0000  6 La 2.97
As2 0.8336 0.1664 0.0000  6 La 2.97
Se1 0.5000 0.5000 0.0000  6 La 2.98-2.99
I1 0.0000 0.0000 0.5000  6 La 3.41-3.43
I2 0.3326 0.6674 0.5000  6 La 3.41-3.43
I3 0.6674 0.3326 0.5000  6 La 3.41-3.43

Calculated values
E_form (uncorrected): -17.32 eV per formula unit
SG: C2/m
DOS at the Fermi energy: 6.55 states/eV per cell
Total magnetic moment: 0.00 μB per cell

=====

Entry 11:
La4AsSe2I: relaxed, PBE-GGA.

Unit cell a=7.5856 b=4.3768 c=7.6906 alpha=90.00 beta=109.25 gamma=90.00
Closest atoms and distances in Å follow each position.
Fractional coordinates of all 8 atoms:
La1 0.2282 0.0000 0.2203  3 Se 2.95-3.17, 1 As 3.07, 2 I 3.28
La2 0.2448 0.5000 0.7702  3 Se 2.96-3.16, 2 As 3.07, 1 I 3.27
La3 0.7552 0.5000 0.2298  3 Se 2.96-3.16, 2 As 3.07, 1 I 3.27
La4 0.7718 0.0000 0.7797  3 Se 2.95-3.17, 1 As 3.07, 2 I 3.28
As1 0.5000 0.0000 0.0000  6 La 3.07
Se1 0.0000 0.0000 0.5000  6 La 3.16-3.17
Se2 0.0000 0.5000 0.0000  6 La 2.95-2.96
I1 0.5000 0.5000 0.5000  6 La 3.27-3.28

Calculated values
E_form (uncorrected): -13.32 eV per formula unit
SG: P2/m
DOS at the Fermi energy: 4.25 states/eV per cell
Total magnetic moment: 0.00 μB per cell

=====

Entry 12:
LaAs2SeI: relaxed, PBE-GGA.

Unit cell a=5.3458 b=5.3458 c=5.2778 alpha=90.00 beta=90.00 gamma=90.00
Closest atoms and distances in Å follow each position.
Fractional coordinates of all 5 atoms:
La1 0.0000 0.0000 0.0000  8 As 3.76, 4 Se 3.78
As1 0.0000 0.5000 0.5000  2 I 2.67
As2 0.5000 0.0000 0.5000  2 I 2.67
Se1 0.5000 0.5000 0.0000  2 I 2.64
I1 0.5000 0.5000 0.5000  2 Se 2.64, 4 As 2.67

Calculated values
E_form (uncorrected): 0.95 eV per formula unit
SG: P4/mmm
DOS at the Fermi energy: 4.63 states/eV per cell
Offset from the most stable computed form: 0.00 eV per formula unit
Total magnetic moment: 0.00 μB per cell